Entry from Alexandria: crystalline PaSn2Pd8 at its relaxed geometry (PBE).

a = 5.3158 Å, b = 5.3605 Å, c = 7.0719 Å
α = 99.91°, β = 99.05°, γ = 94.81°
Atoms (fractional coordinates):
Pa1 0.0000 0.0000 0.0000
Sn1 0.3475 0.3128 0.6662
Sn2 0.6525 0.6872 0.3338
Pd1 0.0518 0.3521 0.3216
Pd2 0.1891 0.8745 0.3938
Pd3 0.2579 0.5546 0.0302
Pd4 0.4835 0.8615 0.8030
Pd5 0.5165 0.1385 0.1970
Pd6 0.7421 0.4454 0.9698
Pd7 0.8109 0.1255 0.6062
Pd8 0.9482 0.6479 0.6784

Properties
Energy above the most stable polymorph in this dataset = 0.025 eV/atom

Entry from Alexandria: crystalline Pa3Sn2Pd7 at its relaxed geometry (PBE).

a = 14.9217 Å, b = 14.9217 Å, c = 3.9201 Å
α = 90.00°, β = 90.00°, γ = 163.75°
Atoms (fractional coordinates):
Pa1 0.0000 0.0000 0.0000
Pa2 0.3097 0.6903 0.5000
Pa3 0.6903 0.3097 0.5000
Sn1 0.1327 0.8673 0.0000
Sn2 0.8673 0.1327 0.0000
Pd1 0.0685 0.9315 0.5000
Pd2 0.2223 0.7777 0.0000
Pd3 0.4281 0.5719 0.0000
Pd4 0.5000 0.5000 0.5000
Pd5 0.5719 0.4281 0.0000
Pd6 0.7777 0.2223 0.0000
Pd7 0.9315 0.0685 0.5000

Entry from Alexandria: crystalline Pa2SnPd8 at its relaxed geometry (PBE).

a = 8.0242 Å, b = 8.0242 Å, c = 5.1871 Å
α = 108.04°, β = 108.04°, γ = 124.15°
Atoms (fractional coordinates):
Pa1 0.1809 0.8191 0.0000
Pa2 0.8191 0.1809 0.0000
Sn1 0.5000 0.5000 0.5000
Pd1 0.0508 0.0508 0.2952
Pd2 0.1190 0.3977 0.7811
Pd3 0.3097 0.6903 0.5000
Pd4 0.3977 0.1190 0.7811
Pd5 0.6023 0.8810 0.2189
Pd6 0.6903 0.3097 0.5000
Pd7 0.8810 0.6023 0.2189
Pd8 0.9492 0.9492 0.7048

Entry from Alexandria: crystalline PaSnPd2 at its relaxed geometry (PBE).

a = 4.8558 Å, b = 4.8558 Å, c = 4.8558 Å
α = 60.00°, β = 60.00°, γ = 60.00°
Atoms (fractional coordinates):
Pa1 0.0000 0.0000 0.0000
Sn1 0.5000 0.5000 0.5000
Pd1 0.2500 0.2500 0.2500
Pd2 0.7500 0.7500 0.7500

Properties
Energy above the most stable polymorph in this dataset = 0.000 eV/atom

Entry from Alexandria: crystalline PaSn2Pd at its relaxed geometry (PBE).

a = 4.4712 Å, b = 4.4712 Å, c = 9.2526 Å
α = 90.00°, β = 90.00°, γ = 90.00°
Atoms (fractional coordinates):
Pa1 0.2500 0.2500 0.2294
Pa2 0.7500 0.7500 0.7706
Sn1 0.2500 0.2500 0.8109
Sn2 0.2500 0.7500 0.5000
Sn3 0.7500 0.2500 0.5000
Sn4 0.7500 0.7500 0.1891
Pd1 0.2500 0.7500 0.0000
Pd2 0.7500 0.2500 0.0000

Entry from Alexandria: crystalline Pa2SnPd9 at its relaxed geometry (PBE).

a = 4.1464 Å, b = 4.1464 Å, c = 12.2303 Å
α = 90.00°, β = 90.00°, γ = 90.00°
Atoms (fractional coordinates):
Pa1 0.0000 0.0000 0.1737
Pa2 0.0000 0.0000 0.8263
Sn1 0.0000 0.0000 0.5000
Pd1 0.0000 0.5000 0.0000
Pd2 0.0000 0.5000 0.3327
Pd3 0.0000 0.5000 0.6673
Pd4 0.5000 0.0000 0.0000
Pd5 0.5000 0.0000 0.3327
Pd6 0.5000 0.0000 0.6673
Pd7 0.5000 0.5000 0.1670
Pd8 0.5000 0.5000 0.5000
Pd9 0.5000 0.5000 0.8330

Entry from Alexandria: crystalline PaSn2Pd at its relaxed geometry (PBE).

a = 4.5490 Å, b = 4.5490 Å, c = 4.4004 Å
α = 90.00°, β = 90.00°, γ = 90.00°
Atoms (fractional coordinates):
Pa1 0.0000 0.0000 0.0000
Sn1 0.0000 0.5000 0.5000
Sn2 0.5000 0.0000 0.5000
Pd1 0.5000 0.5000 0.0000

Entry from Alexandria: crystalline PaSn2Pd8 at its relaxed geometry (PBE).

a = 7.6591 Å, b = 7.6591 Å, c = 6.6454 Å
α = 109.62°, β = 109.62°, γ = 31.65°
Atoms (fractional coordinates):
Pa1 0.0000 0.0000 0.0000
Sn1 0.2911 0.2911 0.3380
Sn2 0.7089 0.7089 0.6620
Pd1 0.0952 0.0952 0.4494
Pd2 0.1759 0.1759 0.9215
Pd3 0.3537 0.3537 0.7936
Pd4 0.4628 0.4628 0.2638
Pd5 0.5372 0.5372 0.7362
Pd6 0.6463 0.6463 0.2064
Pd7 0.8241 0.8241 0.0785
Pd8 0.9048 0.9048 0.5506

Properties
Energy above the most stable polymorph in this dataset = 0.000 eV/atom

no.,calculated total energy (eV per formula unit),size of the total moment (Bohr magnetons per cell),formation energy (eV/atom)
1,-65.30,0.00,-0.569
2,-79.07,0.00,-0.519
3,-70.57,0.00,-0.549
4,-26.36,0.00,-0.618
5,-24.47,0.00,-0.443
6,-77.67,1.11,-0.662
7,-24.12,0.00,-0.357
8,-65.57,0.00,-0.593